The following is a DFT calculation (GGA+U) of a relaxed ZrMo2O8 crystal.

Properties
**Polymorph energy (0 for the lowest one)**: 0.000 eV/atom
**SG**: Pmn2_1 (31)
**Density of states at the Fermi level**: 0.00 states/eV/f.u.
**E_tot**: -0.28410 hartree per atom

Cell: 5.994 7.485 9.334 Å, 90.00 90.00 90.00°
Positions (direct):
Zr  0.000  0.739  0.001
Zr  0.500  0.261  0.501
Mo  0.000  0.574  0.401
Mo  0.000  0.046  0.677
Mo  0.500  0.954  0.177
Mo  0.500  0.426  0.901
O  0.000  0.851  0.798
O  0.000  0.224  0.794
O  0.256  0.558  0.946
O  0.500  0.230  0.000
O  0.756  0.442  0.446
O  0.000  0.770  0.500
O  0.244  0.442  0.446
O  0.255  0.081  0.574
O  0.245  0.919  0.074
O  0.745  0.081  0.574
O  0.500  0.776  0.294
O  0.500  0.149  0.298
O  0.500  0.374  0.711
O  0.000  0.626  0.211
O  0.755  0.919  0.074
O  0.744  0.558  0.946